A plane-wave DFT calculation with PBE was carried out for a relaxed NaTbSbAu crystal.

Output
The value obtained for the calculated total energy is -4.01 eV per atom.

Unit cell a=7.341 b=7.341 c=7.341 alpha=90.00 beta=90.00 gamma=90.00
Fractional coordinates of all 16 atoms:
Na  0.000  0.000  0.000
Na  0.000  0.500  0.500
Na  0.500  0.000  0.500
Na  0.500  0.500  0.000
Tb  0.000  0.000  0.500
Tb  0.000  0.500  0.000
Tb  0.500  0.000  0.000
Tb  0.500  0.500  0.500
Sb  0.250  0.250  0.750
Sb  0.250  0.750  0.250
Sb  0.750  0.250  0.250
Sb  0.750  0.750  0.750
Au  0.250  0.250  0.250
Au  0.250  0.750  0.750
Au  0.750  0.250  0.750
Au  0.750  0.750  0.250

A plane-wave DFT calculation with PBE was carried out for a relaxed NaSbTe2Au crystal.

Output
Its excess energy over the best structure of this formula in the dataset is 0.0 meV per atom.

Unit cell a=7.465 b=4.997 c=8.554 alpha=90.00 beta=97.34 gamma=90.00
Fractional coordinates of all 10 atoms:
Na  0.000  0.143  0.250
Na  0.000  0.857  0.750
Sb  0.500  0.399  0.250
Sb  0.500  0.601  0.750
Te  0.215  0.327  0.957
Te  0.215  0.673  0.457
Te  0.785  0.327  0.543
Te  0.785  0.673  0.043
Au  0.500  0.000  0.000
Au  0.500  0.000  0.500

A plane-wave DFT calculation with PBE was carried out for a relaxed NaSbTe3Au crystal.

Output
The value obtained for the calculated total energy is -3.30 eV per atom.

Unit cell a=9.161 b=4.301 c=9.888 alpha=90.00 beta=101.65 gamma=90.00
Fractional coordinates of all 12 atoms:
Na  0.178  0.250  0.232
Na  0.822  0.750  0.768
Sb  0.327  0.750  0.872
Sb  0.673  0.250  0.128
Te  0.103  0.250  0.899
Te  0.267  0.750  0.538
Te  0.440  0.750  0.174
Te  0.560  0.250  0.826
Te  0.733  0.250  0.462
Te  0.897  0.750  0.101
Au  0.092  0.250  0.523
Au  0.908  0.750  0.477